[1]
Material: Sr2LaP
Method: DFT, SCAN
State: single point on PBEsol structure

## Properties
**N(E_F)**: 2.69 states/eV/cell
**Energy of formation**: -1 kJ/mol of formula units
**SG**: Fm-3m (225)
**Energy above the lowest structure with this stoichiometry**: 590 meV/atom

Structure (POSCAR):
```
Sr2LaP
1.0
-2.9203 -2.7461 -3.8265
-1.3273 -5.3182 0.8165
-5.2595 -1.4183 1.0188
Sr P La
2 1 1
Direct
0.7500 0.7500 0.7500
0.2500 0.2500 0.2500
0.5000 0.5000 0.5000
0.0000 0.0000 0.0000
```

=====

[2]
Material: LiOs2Cl
Method: DFT, SCAN
State: single point on PBEsol structure

## Properties
**E_form (uncorrected)**: 65 meV/atom
**N(E_F)**: 2.17 states/eV/cell
**SG**: Pmm2 (25)
**Energy above the lowest structure with this stoichiometry**: 3 meV/atom

Structure (POSCAR):
```
LiOs2Cl
1.0
-1.2215 -0.6856 2.4555
2.4331 -2.5399 0.5012
3.8364 4.2879 3.1056
Os Cl Li
2 1 1
Direct
0.0000 0.0000 0.0009
0.5000 0.5000 0.1654
0.0000 0.0000 0.6231
0.5000 0.5000 0.7106
```

=====

no.,final energy (eV/atom)
1,-24.52
2,-38.47